Below is HgSe2 at its PBEsol-relaxed geometry, with properties calculated at the meta-GGA SCAN level.

Geometry as POSCAR:
```
HgSe2
1.0
4.843 0.000 0.000
0.000 3.988 0.000
0.000 -1.994 3.453
Hg Se
1 2
direct
0.000 0.000 0.000
0.683 0.667 0.333
0.317 0.333 0.667
```

Calculated values
- E (eV per atom) = -35.96
- theoretical density (g/cm3) = 8.93
- spin magnetization (μB/f.u.) = 0.000
- symmetry = No. 164
- E_form (uncorrected) (eV/atom) = 0.14
- calculated volume (Å³ per cell) = 66.7